Material: La2Cl
Method: DFT, SCAN
State: single point on PBEsol structure

abc: 7.192 7.192 6.249
angles: 90.00 90.00 90.00
Space group I4/mcm (No. 140)
Asymmetric unit:
La: 0.158 0.342 0.000
Cl: 0.000 0.000 0.250

calculated total energy	-32.572	eV/atom
energy relative to the lowest polymorph listed for this composition	0.0	meV/atom
spin magnetization	0.0	μB per cell
uncorrected formation energy	-1176	meV per atom

***

Material: BeCdC3
Method: DFT, SCAN
State: single point on PBEsol structure

abc: 4.203 4.203 4.203
angles: 90.00 90.00 90.00
Space group Pm-3m (No. 221)
Asymmetric unit:
Be: 0.000 0.000 0.000
Cd: 0.500 0.500 0.500
C: 0.000 0.500 0.500

ΔE_f	3766	meV per atom
calculated total energy	-9.247	eV/atom
spin magnetization	0.8	μB per cell

***

Material: Dy3SbO7
Method: DFT, SCAN
State: single point on PBEsol structure

abc: 7.383 10.447 7.441
angles: 90.00 90.00 90.00
Space group C222_1 (No. 20)
Asymmetric unit:
Dy: 0.001 0.000 0.000
Dy: 0.234 0.266 0.750
Sb: 0.000 0.500 0.000
O: 0.000 0.130 0.250
O: 0.000 0.136 0.750
O: 0.000 0.428 0.750
O: 0.198 0.375 0.030
O: 0.199 0.375 0.470

calculated total energy	-23.663	eV/atom
spin magnetization	0.0	μB per cell
uncorrected formation energy	-3275	meV per atom

***

Which value of spin magnetization does entry 1 give? 0.0 μB per cell

***

Look up the calculated total energy of the first one. -32.572 eV/atom

***

The highest spin magnetization belongs to which entry? BeCdC3